NbFeSnHg | OQMD | PBE | optimized geometry; total energy = -5.177 eV per atom; total magnetic moment = 1.0 μB per cell; volume = 17.90 A^3/atom
1.0
0.000 3.296 3.296
3.296 0.000 3.296
3.296 3.296 0.000
Nb Fe Sn Hg
1 1 1 1
direct
0.000 0.000 0.000
0.750 0.750 0.750
0.500 0.500 0.500
0.250 0.250 0.250